# 1
# Al2FeHg, optimized geometry, DFT PBE-GGA
# E_form = 0.113 eV per atom
# DFT total energy = -3.95 eV/atom
# density of states at the Fermi level = 4.8 states/eV/cell
# total moment = 1.6 Bohr magnetons per cell
data_Al2FeHg
_chemical_formula_sum 'Al4 Fe2 Hg2'
_space_group_name_H-M_alt 'C 1 m 1'
_space_group_IT_number 8
_cell_length_a 9.055
_cell_length_b 3.326
_cell_length_c 4.367
_cell_angle_alpha 90.00
_cell_angle_beta 108.92
_cell_angle_gamma 90.00
loop_
_space_group_symop_operation_xyz
'x,y,z'
'x,-y,z'
'x+1/2,y+1/2,z'
'x+1/2,-y+1/2,z'
loop_
_atom_site_label
_atom_site_type_symbol
_atom_site_fract_x
_atom_site_fract_y
_atom_site_fract_z
Al1 Al 0.000 0.000 0.000
Al2 Al 0.234 0.000 0.684
Fe1 Fe 0.013 0.500 0.572
Hg1 Hg 0.260 0.500 0.220

---

# 2
# CsNa2LiRu, optimized geometry, DFT PBE-GGA
# E_form = 0.793 eV per atom
# DFT total energy = -2.14 eV/atom
# density of states at the Fermi level = 3.1 states/eV/cell
# total moment = 1.4 Bohr magnetons per cell
data_CsNa2LiRu
_chemical_formula_sum 'Cs1 Na2 Li1 Ru1'
_space_group_name_H-M_alt 'P 4/m m m'
_space_group_IT_number 123
_space_group_name_Hall '-P 4 2'
_cell_length_a 5.523
_cell_length_b 5.523
_cell_length_c 4.770
_cell_angle_alpha 90.00
_cell_angle_beta 90.00
_cell_angle_gamma 90.00
loop_
_atom_site_label
_atom_site_type_symbol
_atom_site_fract_x
_atom_site_fract_y
_atom_site_fract_z
Cs1 Cs 0.000 0.000 0.000
Na1 Na 0.000 0.500 0.500
Li1 Li 0.500 0.500 0.500
Ru1 Ru 0.500 0.500 0.000

---

# 3
# Na3MgFe, optimized geometry, DFT PBE-GGA
# E_form = 0.840 eV per atom
# DFT total energy = -1.96 eV/atom
# relative energy among the computed polymorphs = 0 kJ/mol of formula units
# density of states at the Fermi level = 4.2 states/eV/cell
# total moment = 3.2 Bohr magnetons per cell
data_Na3MgFe
_chemical_formula_sum 'Na3 Mg1 Fe1'
_space_group_name_H-M_alt 'P m -3 m'
_space_group_IT_number 221
_space_group_name_Hall '-P 4 2 3'
_cell_length_a 5.639
_cell_length_b 5.639
_cell_length_c 5.639
_cell_angle_alpha 90.00
_cell_angle_beta 90.00
_cell_angle_gamma 90.00
loop_
_atom_site_label
_atom_site_type_symbol
_atom_site_fract_x
_atom_site_fract_y
_atom_site_fract_z
Na1 Na 0.000 0.000 0.500
Mg1 Mg 0.500 0.500 0.500
Fe1 Fe 0.000 0.000 0.000

---

# 4
# Co2TcIr, optimized geometry, DFT PBE-GGA
# E_form = 0.258 eV per atom
# DFT total energy = -8.10 eV/atom
# relative energy among the computed polymorphs = 107 kJ/mol of formula units
# density of states at the Fermi level = 5.7 states/eV/cell
# total moment = 3.5 Bohr magnetons per cell
data_Co2TcIr
_chemical_formula_sum 'Co2 Tc1 Ir1'
_space_group_name_H-M_alt 'P 1 2/m 1'
_space_group_IT_number 10
_cell_length_a 2.609
_cell_length_b 4.262
_cell_length_c 4.759
_cell_angle_alpha 90.00
_cell_angle_beta 94.40
_cell_angle_gamma 90.00
loop_
_space_group_symop_operation_xyz
'x,y,z'
'-x,-y,-z'
'-x,y,-z'
'x,-y,z'
loop_
_atom_site_label
_atom_site_type_symbol
_atom_site_fract_x
_atom_site_fract_y
_atom_site_fract_z
Co1 Co 0.169 0.000 0.252
Tc1 Tc 0.000 0.500 0.500
Ir1 Ir 0.500 0.500 0.000

---

# 5
# KZnOsC2, optimized geometry, DFT PBE-GGA
# E_form = 0.934 eV per atom
# DFT total energy = -5.48 eV/atom
# density of states at the Fermi level = 1.5 states/eV/cell
# total moment = 0.0 Bohr magnetons per cell
data_KZnOsC2
_chemical_formula_sum 'K1 Zn1 Os1 C2'
_space_group_name_H-M_alt 'P 4/m m m'
_space_group_IT_number 123
_space_group_name_Hall '-P 4 2'
_cell_length_a 4.059
_cell_length_b 4.059
_cell_length_c 4.900
_cell_angle_alpha 90.00
_cell_angle_beta 90.00
_cell_angle_gamma 90.00
loop_
_atom_site_label
_atom_site_type_symbol
_atom_site_fract_x
_atom_site_fract_y
_atom_site_fract_z
K1 K 0.000 0.000 0.000
Zn1 Zn 0.500 0.500 0.000
Os1 Os 0.500 0.500 0.500
C1 C 0.000 0.500 0.500

---

# 6
# Hf2CuGe2, optimized geometry, DFT PBE-GGA
# E_form = -0.415 eV per atom
# DFT total energy = -7.06 eV/atom
# density of states at the Fermi level = 8.5 states/eV/cell
# total moment = 0.0 Bohr magnetons per cell
data_Hf2CuGe2
_chemical_formula_sum 'Hf8 Cu4 Ge8'
_space_group_name_H-M_alt 'C m c 21'
_space_group_IT_number 36
_cell_length_a 4.126
_cell_length_b 14.637
_cell_length_c 6.020
_cell_angle_alpha 90.00
_cell_angle_beta 90.00
_cell_angle_gamma 90.00
loop_
_space_group_symop_operation_xyz
'x,y,z'
'-x,-y,z+1/2'
'-x,y,z'
'x,-y,z+1/2'
'x+1/2,y+1/2,z'
'-x+1/2,-y+1/2,z+1/2'
'-x+1/2,y+1/2,z'
'x+1/2,-y+1/2,z+1/2'
loop_
_atom_site_label
_atom_site_type_symbol
_atom_site_fract_x
_atom_site_fract_y
_atom_site_fract_z
Hf1 Hf 0.000 0.009 0.000
Hf2 Hf 0.000 0.195 0.701
Cu1 Cu 0.000 0.393 0.839
Ge1 Ge 0.000 0.178 0.213
Ge2 Ge 0.000 0.429 0.242

---

# 7
# Pd2AuC, optimized geometry, DFT PBE-GGA
# E_form = 0.496 eV per atom
# DFT total energy = -5.23 eV/atom
# density of states at the Fermi level = 7.3 states/eV/cell
# total moment = 0.0 Bohr magnetons per cell
data_Pd2AuC
_chemical_formula_sum 'Pd8 Au4 C4'
_space_group_name_H-M_alt 'I -4 2 d'
_space_group_IT_number 122
_space_group_name_Hall 'I -4 2bw'
_cell_length_a 6.447
_cell_length_b 6.447
_cell_length_c 5.801
_cell_angle_alpha 90.00
_cell_angle_beta 90.00
_cell_angle_gamma 90.00
loop_
_atom_site_label
_atom_site_type_symbol
_atom_site_fract_x
_atom_site_fract_y
_atom_site_fract_z
Pd1 Pd 0.142 0.250 0.125
Au1 Au 0.000 0.000 0.500
C1 C 0.000 0.000 0.000

---

# 8
# HoGeRu2C, optimized geometry, DFT PBE-GGA
# E_form = -0.477 eV per atom
# DFT total energy = -7.87 eV/atom
# density of states at the Fermi level = 12.4 states/eV/cell
# total moment = 0.0 Bohr magnetons per cell
data_HoGeRu2C
_chemical_formula_sum 'Ho4 Ge4 Ru8 C4'
_space_group_name_H-M_alt 'C m c m'
_space_group_IT_number 63
_space_group_name_Hall '-C 2c 2'
_cell_length_a 3.850
_cell_length_b 11.211
_cell_length_c 7.301
_cell_angle_alpha 90.00
_cell_angle_beta 90.00
_cell_angle_gamma 90.00
loop_
_atom_site_label
_atom_site_type_symbol
_atom_site_fract_x
_atom_site_fract_y
_atom_site_fract_z
Ho1 Ho 0.000 0.045 0.250
Ge1 Ge 0.000 0.234 0.750
Ru1 Ru 0.000 0.339 0.057
C1 C 0.000 0.500 0.000